# 1
Nb3ReI | PBE-GGA | relaxed

Geometry as CIF:
```
data_Nb3ReI
_cell_length_a 4.951
_cell_length_b 4.951
_cell_length_c 4.951
_cell_angle_alpha 90.00
_cell_angle_beta 90.00
_cell_angle_gamma 90.00
_space_group_name_H-M_alt 'P m -3 m'
_space_group_IT_number 221
_space_group_name_Hall '-P 4 2 3'
loop_
_atom_site_label
_atom_site_type_symbol
_atom_site_fract_x
_atom_site_fract_y
_atom_site_fract_z
Nb1 Nb 0.000 0.000 0.500
Re1 Re 0.000 0.000 0.000
I1 I 0.500 0.500 0.500
```

Results
energy relative to the elements, uncorrected: 1221 meV per atom
crystal system: cubic

# 2
LiHoBiPt | PBE-GGA | relaxed

Geometry as CIF:
```
data_LiHoBiPt
_cell_length_a 6.948
_cell_length_b 6.948
_cell_length_c 6.948
_cell_angle_alpha 90.00
_cell_angle_beta 90.00
_cell_angle_gamma 90.00
_space_group_name_H-M_alt 'F -4 3 m'
_space_group_IT_number 216
_space_group_name_Hall 'F -4 2 3'
loop_
_atom_site_label
_atom_site_type_symbol
_atom_site_fract_x
_atom_site_fract_y
_atom_site_fract_z
Li1 Li 0.000 0.000 0.000
Ho1 Ho 0.250 0.250 0.250
Bi1 Bi 0.250 0.250 0.750
Pt1 Pt 0.000 0.000 0.500
```

Results
E_form: -0.6450 eV/atom
crystal system: cubic

# 3
LiNiBr | PBE-GGA | relaxed

Geometry as CIF:
```
data_LiNiBr
_cell_length_a 5.444
_cell_length_b 3.457
_cell_length_c 6.434
_cell_angle_alpha 90.00
_cell_angle_beta 90.76
_cell_angle_gamma 90.00
_space_group_name_H-M_alt 'P 1 m 1'
_space_group_IT_number 6
_space_group_name_Hall 'P -2y'
loop_
_atom_site_label
_atom_site_type_symbol
_atom_site_fract_x
_atom_site_fract_y
_atom_site_fract_z
Li1 Li 0.000 0.000 0.000
Li2 Li 0.267 0.500 0.316
Ni1 Ni 0.333 0.500 0.886
Ni2 Ni 0.506 0.000 0.089
Br1 Br 0.217 0.000 0.642
Br2 Br 0.756 0.500 0.250
```

Results
energy relative to the elements, uncorrected: -357 meV per atom
excess energy over the best structure of this formula in the dataset: 95 meV/atom
crystal system: monoclinic

# 4
LiZrP | PBE-GGA | relaxed

Geometry as CIF:
```
data_LiZrP
_cell_length_a 3.8397
_cell_length_b 3.8397
_cell_length_c 3.5306
_cell_angle_alpha 90.00
_cell_angle_beta 90.00
_cell_angle_gamma 120.00
_space_group_name_H-M_alt 'P -6 m 2'
_space_group_IT_number 187
_space_group_name_Hall 'P -6 2'
loop_
_atom_site_label
_atom_site_type_symbol
_atom_site_fract_x
_atom_site_fract_y
_atom_site_fract_z
Li1 Li 0.0000 0.0000 0.0000
Zr1 Zr 0.3333 0.6667 0.5000
P1 P 0.6667 0.3333 0.0000
```

Results
E_form: -0.8814 eV/atom
crystal system: hexagonal

# 5
Er2Mg2Sn3 | PBE-GGA | relaxed

Geometry as CIF:
```
data_Er2Mg2Sn3
_cell_length_a 10.802
_cell_length_b 4.603
_cell_length_c 9.176
_cell_angle_alpha 90.00
_cell_angle_beta 123.52
_cell_angle_gamma 90.00
_space_group_name_H-M_alt 'C 1 2/m 1'
_space_group_IT_number 12
_space_group_name_Hall '-C 2y'
loop_
_atom_site_label
_atom_site_type_symbol
_atom_site_fract_x
_atom_site_fract_y
_atom_site_fract_z
Er1 Er 0.097 0.000 0.277
Mg1 Mg 0.193 0.500 0.866
Sn1 Sn 0.000 0.500 0.000
Sn2 Sn 0.165 0.000 0.656
```

Results
E_form: -0.3381 eV/atom
crystal system: monoclinic

# 6
Ba4PuCl10 | PBE-GGA | relaxed

Geometry as CIF:
```
data_Ba4PuCl10
_cell_length_a 11.562
_cell_length_b 11.562
_cell_length_c 7.318
_cell_angle_alpha 90.00
_cell_angle_beta 90.00
_cell_angle_gamma 90.00
_space_group_name_H-M_alt 'I 4/m'
_space_group_IT_number 87
_space_group_name_Hall '-I 4'
loop_
_atom_site_label
_atom_site_type_symbol
_atom_site_fract_x
_atom_site_fract_y
_atom_site_fract_z
Ba1 Ba 0.101 0.298 0.000
Pu1 Pu 0.000 0.000 0.500
Cl1 Cl 0.000 0.500 0.250
Cl2 Cl 0.097 0.807 0.259
```

Results
energy relative to the elements, uncorrected: -2379 meV per atom
crystal system: tetragonal